Computed, not measured: a PBEsol-optimized structure of LaMg2Mo at the meta-GGA SCAN level of DFT.

Calculated values
DFT formation energy = 1.90 eV per formula unit
energy above the most stable polymorph in this dataset = 0.130 eV per atom
VASP energy = -21.51 eV/atom
total magnetic moment = 1.8 μB per formula unit
theoretical density = 5.41 g cm⁻³

Lattice parameters (Å, degrees): 4.1406 4.1406 5.0769 90.00 90.00 90.00
Last column: nearest neighbours and their distance in Å.
Space group P4/mmm (No. 123)
One atom of each set of equivalent atoms:
La 0.0000 0.0000 0.0000 [1 per cell]  4 Mo 2.93, 8 Mg 3.28
Mg 0.0000 0.5000 0.5000 [2 per cell]  4 Mg 2.93, 4 La 3.28, 4 Mo 3.28
Mo 0.5000 0.5000 0.0000 [1 per cell]  4 La 2.93, 8 Mg 3.28